*i*
The following is a DFT calculation (GGA-PBE) of In3SeCl after structural relaxation.

Results
Calculated volume in Å³/atom: 42.95

Cell lengths 5.9884, 5.9884, 5.9884 Å; angles 90.00, 90.00, 90.00 degrees
Space group Pm-3m (No. 221)
Inequivalent atoms, fractional coordinates:
1 In 0.0000 0.0000 0.5000 x3
2 Se 0.0000 0.0000 0.0000 x1
3 Cl 0.5000 0.5000 0.5000 x1

*ii*
The following is a DFT calculation (GGA-PBE) of In3SeCl after structural relaxation.

Results
Calculated volume in Å³/atom: 37.27

Cell lengths 5.7121, 5.7121, 5.7121 Å; angles 90.00, 90.00, 90.00 degrees
Space group Pm-3m (No. 221)
Inequivalent atoms, fractional coordinates:
1 In 0.0000 0.0000 0.5000 x3
2 Se 0.5000 0.5000 0.5000 x1
3 Cl 0.0000 0.0000 0.0000 x1

Preferred: *i*; penalty for the next structure: 40 meV per atom.

*i*
The following is a DFT calculation (GGA-PBE) of In2SiCl after structural relaxation.

Results
Calculated volume in Å³/atom: 24.82

Cell lengths 8.0131, 7.9637, 3.1674 Å; angles 90.00, 100.80, 90.00 degrees
Space group C2/m (No. 12)
Inequivalent atoms, fractional coordinates:
1 In 0.2500 0.2500 0.0000 x4
2 Si 0.0000 0.0000 0.0000 x2
3 Cl 0.0000 0.5000 0.0000 x2

*ii*
The following is a DFT calculation (GGA-PBE) of In2SiCl after structural relaxation.

Results
Calculated volume in Å³/atom: 25.40

Cell lengths 4.1553, 4.1553, 11.7706 Å; angles 90.00, 90.00, 90.00 degrees
Space group I-4m2 (No. 119)
Inequivalent atoms, fractional coordinates:
1 In 0.0000 0.0000 0.0000 x2
2 In 0.0000 0.5000 0.2500 x2
3 Si 0.0000 0.5000 0.7500 x2
4 Cl 0.0000 0.0000 0.5000 x2

Preferred: *i*; penalty for the next structure: 211 meV per atom.

*i*
The following is a DFT calculation (GGA-PBE) of In2SiCl after structural relaxation.

Results
Calculated volume in Å³/atom: 24.22

Cell lengths 3.2632, 4.8658, 12.2019 Å; angles 90.00, 90.00, 90.00 degrees
Space group Imm2 (No. 44)
Inequivalent atoms, fractional coordinates:
1 In 0.0000 0.0000 0.0000 x2
2 In 0.0000 0.5000 0.2703 x2
3 Si 0.0000 0.5000 0.6986 x2
4 Cl 0.0000 0.0000 0.4985 x2

*ii*
The following is a DFT calculation (GGA-PBE) of In2SiCl after structural relaxation.

Results
Calculated volume in Å³/atom: 23.75

Cell lengths 3.5038, 3.5038, 26.8099 Å; angles 90.00, 90.00, 120.00 degrees
Space group R-3m (No. 166, hexagonal axes)
Inequivalent atoms, fractional coordinates:
1 In 0.0000 0.0000 0.2486 x6
2 Si 0.0000 0.0000 0.5000 x3
3 Cl 0.0000 0.0000 0.0000 x3

*iii*
The following is a DFT calculation (GGA-PBE) of In2SiCl after structural relaxation.

Results
Calculated volume in Å³/atom: 26.06

Cell lengths 3.3464, 3.3464, 9.3090 Å; angles 90.00, 90.00, 90.00 degrees
Space group P4mm (No. 99)
Inequivalent atoms, fractional coordinates:
1 In 0.0000 0.0000 0.0000 x1
2 In 0.5000 0.5000 0.2888 x1
3 Si 0.0000 0.0000 0.4765 x1
4 Cl 0.5000 0.5000 0.8138 x1

*iv*
The following is a DFT calculation (GGA-PBE) of In2SiCl after structural relaxation.

Results
Calculated volume in Å³/atom: 24.39

Cell lengths 3.2177, 4.8697, 12.4513 Å; angles 90.00, 90.00, 90.00 degrees
Space group Immm (No. 71)
Inequivalent atoms, fractional coordinates:
1 In 0.0000 0.0000 0.1957 x4
2 Si 0.0000 0.5000 0.5000 x2
3 Cl 0.0000 0.5000 0.0000 x2

Preferred: *i*; penalty for the next structure: 33 meV per atom.